The following is a GGA-PBE calculation of crystalline BaIn2Ir at its relaxed geometry, from Alexandria.

The calculation puts the uncorrected energy at -15.51 eV/f.u. For the formation energy from the elements, the calculation gives 0.75 eV/f.u. Its crystal system is tetragonal. For the density of states at the Fermi level, the calculation gives 2.052 states/eV per cell.

Cell lengths 5.2185, 4.5014, 4.5014 Å; angles 90.00, 90.00, 90.00 degrees
Element x y z (fractional)
Ir1 0.5000 0.5000 0.0000
In1 0.0000 0.0000 0.0000
In2 0.0000 0.5000 0.5000
Ba1 0.5000 0.0000 0.5000